Record 1
# Sc2Re

An optimized crystal structure of Sc2Re (GGA-PBEsol, Alexandria).

Unit cell a=6.696 b=6.696 c=5.321 alpha=90.00 beta=90.00 gamma=90.00
Atoms (fractional coordinates):
Sc1 0.169 0.331 0.000
Sc2 0.169 0.669 0.500
Sc3 0.331 0.169 0.500
Sc4 0.331 0.831 0.000
Sc5 0.669 0.169 0.000
Sc6 0.669 0.831 0.500
Sc7 0.831 0.331 0.500
Sc8 0.831 0.669 0.000
Re1 0.000 0.000 0.250
Re2 0.000 0.000 0.750
Re3 0.500 0.500 0.250
Re4 0.500 0.500 0.750

Calculated values
**Crystal system**: tetragonal
**Symmetry**: I4/mcm (140)
**Energy of formation from the pure elements**: -0.0750 eV/atom
**Total DFT energy (no corrections)**: -8.92 eV/atom

Record 2
# Sc2Re

An optimized crystal structure of Sc2Re (GGA-PBEsol, Alexandria).

Unit cell a=2.815 b=4.720 c=8.069 alpha=90.00 beta=90.00 gamma=90.00
Atoms (fractional coordinates):
Sc1 0.000 0.000 0.166
Sc2 0.000 0.000 0.834
Sc3 0.500 0.500 0.334
Sc4 0.500 0.500 0.666
Re1 0.000 0.000 0.500
Re2 0.500 0.500 0.000

Calculated values
**Crystal system**: orthorhombic
**Symmetry**: Immm (71)
**Energy of formation from the pure elements**: 0.0856 eV/atom
**Total DFT energy (no corrections)**: -8.76 eV/atom

Record 3
# Sc3Re

An optimized crystal structure of Sc3Re (GGA-PBEsol, Alexandria).

Unit cell a=7.180 b=8.351 c=5.544 alpha=90.00 beta=90.00 gamma=90.00
Atoms (fractional coordinates):
Sc1 0.036 0.250 0.113
Sc2 0.176 0.062 0.632
Sc3 0.176 0.438 0.632
Sc4 0.324 0.562 0.132
Sc5 0.324 0.938 0.132
Sc6 0.464 0.750 0.613
Sc7 0.536 0.250 0.387
Sc8 0.676 0.062 0.868
Sc9 0.676 0.438 0.868
Sc10 0.824 0.562 0.368
Sc11 0.824 0.938 0.368
Sc12 0.964 0.750 0.887
Re1 0.121 0.750 0.440
Re2 0.379 0.250 0.940
Re3 0.621 0.750 0.060
Re4 0.879 0.250 0.560

Calculated values
**Crystal system**: orthorhombic
**Symmetry**: Pnma (62)
**Energy of formation from the pure elements**: -0.0766 eV/atom
**Total DFT energy (no corrections)**: -8.36 eV/atom